# 1
This record from the Alexandria database describes an optimized crystal structure of DyPdRh2. The functional is PBE.

Results
Crystal system: cubic
Energy relative to the elements (eV per formula unit): -1.621
Total DFT energy (no corrections) (eV/f.u.): -26.1

```
data_DyPdRh2
_space_group_name_H-M_alt 'F m -3 m'
_space_group_IT_number 225
_space_group_name_Hall '-F 4 2 3'
_cell_length_a 6.501
_cell_length_b 6.501
_cell_length_c 6.501
_cell_angle_alpha 90.00
_cell_angle_beta 90.00
_cell_angle_gamma 90.00
loop_
_atom_site_label
_atom_site_fract_x
_atom_site_fract_y
_atom_site_fract_z
Dy1 0.000 0.000 0.000
Pd1 0.000 0.000 0.500
Rh1 0.250 0.250 0.250
```


# 2
This record from the Alexandria database describes an optimized crystal structure of Rb2SrHf. The functional is PBE.

Results
Crystal system: cubic
Energy relative to the elements (eV per formula unit): 4.638
Total DFT energy (no corrections) (eV/f.u.): -8.9

```
data_Rb2SrHf
_space_group_name_H-M_alt 'F m -3 m'
_space_group_IT_number 225
_space_group_name_Hall '-F 4 2 3'
_cell_length_a 9.255
_cell_length_b 9.255
_cell_length_c 9.255
_cell_angle_alpha 90.00
_cell_angle_beta 90.00
_cell_angle_gamma 90.00
loop_
_atom_site_label
_atom_site_fract_x
_atom_site_fract_y
_atom_site_fract_z
Rb1 0.250 0.250 0.250
Sr1 0.000 0.000 0.000
Hf1 0.000 0.000 0.500
```


# 3
This record from the Alexandria database describes an optimized crystal structure of CsYAs2O6. The functional is PBE.

Results
Crystal system: monoclinic
Uncorrected formation energy (meV per atom): -1828
Total DFT energy (no corrections) (eV/f.u.): -64.7

```
data_CsYAs2O6
_space_group_name_H-M_alt 'C 1 2/c 1'
_space_group_IT_number 15
_cell_length_a 10.172
_cell_length_b 10.256
_cell_length_c 6.802
_cell_angle_alpha 90.00
_cell_angle_beta 108.29
_cell_angle_gamma 90.00
loop_
_space_group_symop_operation_xyz
'x,y,z'
'-x,-y,-z'
'-x,y,-z+1/2'
'x,-y,z+1/2'
'x+1/2,y+1/2,z'
'-x+1/2,-y+1/2,-z'
'-x+1/2,y+1/2,-z+1/2'
'x+1/2,-y+1/2,z+1/2'
loop_
_atom_site_label
_atom_site_fract_x
_atom_site_fract_y
_atom_site_fract_z
Cs1 0.000 0.202 0.250
Y1 0.000 0.399 0.750
As1 0.199 0.078 0.802
O1 0.115 0.437 0.105
O2 0.157 0.244 0.752
O3 0.161 0.009 0.046
```


# 4
This record from the Alexandria database describes an optimized crystal structure of Li3Zr2TiSe6. The functional is PBE.

Results
Crystal system: monoclinic
Uncorrected formation energy (meV per atom): -1286
Total DFT energy (no corrections) (eV/f.u.): -67.1

```
data_Li3Zr2TiSe6
_space_group_name_H-M_alt 'C 1 2/m 1'
_space_group_IT_number 12
_cell_length_a 6.474
_cell_length_b 11.220
_cell_length_c 6.937
_cell_angle_alpha 90.00
_cell_angle_beta 108.16
_cell_angle_gamma 90.00
loop_
_space_group_symop_operation_xyz
'x,y,z'
'-x,-y,-z'
'-x,y,-z'
'x,-y,z'
'x+1/2,y+1/2,z'
'-x+1/2,-y+1/2,-z'
'-x+1/2,y+1/2,-z'
'x+1/2,-y+1/2,z'
loop_
_atom_site_label
_atom_site_fract_x
_atom_site_fract_y
_atom_site_fract_z
Li1 0.000 0.000 0.000
Li2 0.000 0.328 0.000
Zr1 0.000 0.166 0.500
Ti1 0.000 0.500 0.500
Se1 0.241 0.500 0.252
Se2 0.244 0.338 0.748
```


# 5
This record from the Alexandria database describes an optimized crystal structure of BeIrAuO. The functional is PBE.

Results
Crystal system: monoclinic
Uncorrected formation energy (meV per atom): -517
Total DFT energy (no corrections) (eV/f.u.): -22.9

```
data_BeIrAuO
_space_group_name_H-M_alt 'C 1 m 1'
_space_group_IT_number 8
_cell_length_a 10.143
_cell_length_b 2.688
_cell_length_c 4.494
_cell_angle_alpha 90.00
_cell_angle_beta 99.59
_cell_angle_gamma 90.00
loop_
_space_group_symop_operation_xyz
'x,y,z'
'x,-y,z'
'x+1/2,y+1/2,z'
'x+1/2,-y+1/2,z'
loop_
_atom_site_label
_atom_site_fract_x
_atom_site_fract_y
_atom_site_fract_z
Be1 0.000 0.000 0.000
Ir1 0.263 0.500 0.882
Au1 0.338 0.000 0.419
O1 0.073 0.500 0.026
```


# 6
This record from the Alexandria database describes an optimized crystal structure of Al2Sb2Pb. The functional is PBE.

Results
Crystal system: tetragonal
Uncorrected formation energy (meV per atom): 135
Total DFT energy (no corrections) (eV/f.u.): -18.8

```
data_Al2Sb2Pb
_space_group_name_H-M_alt 'P 4/m b m'
_space_group_IT_number 127
_space_group_name_Hall '-P 4 2ab'
_cell_length_a 7.988
_cell_length_b 7.988
_cell_length_c 3.820
_cell_angle_alpha 90.00
_cell_angle_beta 90.00
_cell_angle_gamma 90.00
loop_
_atom_site_label
_atom_site_fract_x
_atom_site_fract_y
_atom_site_fract_z
Al1 0.124 0.376 0.000
Sb1 0.170 0.670 0.500
Pb1 0.000 0.000 0.000
```


# 7
This record from the Alexandria database describes an optimized crystal structure of Y4GeAs3. The functional is PBE.

Results
Crystal system: cubic
Energy relative to the elements (eV per formula unit): -10.624
Total DFT energy (no corrections) (eV/f.u.): -55.0

```
data_Y4GeAs3
_space_group_name_H-M_alt 'P m -3 m'
_space_group_IT_number 221
_space_group_name_Hall '-P 4 2 3'
_cell_length_a 5.846
_cell_length_b 5.846
_cell_length_c 5.846
_cell_angle_alpha 90.00
_cell_angle_beta 90.00
_cell_angle_gamma 90.00
loop_
_atom_site_label
_atom_site_fract_x
_atom_site_fract_y
_atom_site_fract_z
Y1 0.000 0.000 0.000
Y2 0.000 0.500 0.500
Ge1 0.500 0.500 0.500
As1 0.000 0.000 0.500
```


# 8
This record from the Alexandria database describes an optimized crystal structure of KPmGe2Br8. The functional is PBE.

Results
Crystal system: triclinic
Uncorrected formation energy (meV per atom): -1167
Total DFT energy (no corrections) (eV/f.u.): -42.5

```
data_KPmGe2Br8
_space_group_name_H-M_alt 'P -1'
_space_group_IT_number 2
_cell_length_a 6.720
_cell_length_b 7.295
_cell_length_c 9.269
_cell_angle_alpha 86.27
_cell_angle_beta 88.44
_cell_angle_gamma 85.94
loop_
_space_group_symop_operation_xyz
'x,y,z'
'-x,-y,-z'
loop_
_atom_site_label
_atom_site_fract_x
_atom_site_fract_y
_atom_site_fract_z
K1 0.000 0.000 0.000
Pm1 0.000 0.000 0.500
Ge1 0.459 0.456 0.251
Br1 0.232 0.817 0.282
Br2 0.239 0.324 0.466
Br3 0.269 0.857 0.726
Br4 0.272 0.362 0.045
```


# 9
This record from the Alexandria database describes an optimized crystal structure of Sr6AgSn3. The functional is PBE.

Results
Crystal system: monoclinic
Energy relative to the elements (eV per formula unit): -3.977
Total DFT energy (no corrections) (eV/f.u.): -28.9

```
data_Sr6AgSn3
_space_group_name_H-M_alt 'P 1 21/c 1'
_space_group_IT_number 14
_cell_length_a 8.199
_cell_length_b 8.781
_cell_length_c 13.842
_cell_angle_alpha 90.00
_cell_angle_beta 124.79
_cell_angle_gamma 90.00
loop_
_space_group_symop_operation_xyz
'x,y,z'
'-x,-y,-z'
'-x,y+1/2,-z+1/2'
'x,-y+1/2,z+1/2'
loop_
_atom_site_label
_atom_site_fract_x
_atom_site_fract_y
_atom_site_fract_z
Sr1 0.073 0.049 0.249
Sr2 0.234 0.668 0.075
Sr3 0.396 0.176 0.070
Ag1 0.000 0.000 0.000
Sn1 0.311 0.128 0.769
Sn2 0.500 0.000 0.500
```


# 10
This record from the Alexandria database describes an optimized crystal structure of HfBe9Mo2. The functional is PBE.

Results
Crystal system: hexagonal
Energy relative to the elements (eV per formula unit): -3.455
Total DFT energy (no corrections) (eV/f.u.): -68.6

```
data_HfBe9Mo2
_space_group_name_H-M_alt 'P 63/m m c'
_space_group_IT_number 194
_space_group_name_Hall '-P 6c 2c'
_cell_length_a 4.4867
_cell_length_b 4.4867
_cell_length_c 14.0974
_cell_angle_alpha 90.00
_cell_angle_beta 90.00
_cell_angle_gamma 120.00
loop_
_atom_site_label
_atom_site_fract_x
_atom_site_fract_y
_atom_site_fract_z
Hf1 0.3333 0.6667 0.2500
Be1 0.0000 0.0000 0.0000
Be2 0.0000 0.0000 0.2500
Be3 0.1695 0.3391 0.6248
Be4 0.3333 0.6667 0.7500
Mo1 0.3333 0.6667 0.0343
```


# 11
This record from the Alexandria database describes an optimized crystal structure of Ac12Os2Pt5. The functional is PBE.

Results
Crystal system: monoclinic
Energy relative to the elements (eV per formula unit): -11.242
Total DFT energy (no corrections) (eV/f.u.): -113.2

```
data_Ac12Os2Pt5
_space_group_name_H-M_alt 'C 1 2/m 1'
_space_group_IT_number 12
_cell_length_a 16.003
_cell_length_b 8.517
_cell_length_c 10.558
_cell_angle_alpha 90.00
_cell_angle_beta 106.42
_cell_angle_gamma 90.00
loop_
_space_group_symop_operation_xyz
'x,y,z'
'-x,-y,-z'
'-x,y,-z'
'x,-y,z'
'x+1/2,y+1/2,z'
'-x+1/2,-y+1/2,-z'
'-x+1/2,y+1/2,-z'
'x+1/2,-y+1/2,z'
loop_
_atom_site_label
_atom_site_fract_x
_atom_site_fract_y
_atom_site_fract_z
Ac1 0.038 0.000 0.334
Ac2 0.058 0.500 0.334
Ac3 0.132 0.253 0.014
Ac4 0.184 0.242 0.649
Os1 0.000 0.257 0.500
Pt1 0.000 0.500 0.000
Pt2 0.216 0.000 0.888
Pt3 0.241 0.000 0.482
```